PrY6Ho2 after structural relaxation, computed with PBE.

CIF file:
```
data_PrY6Ho2
_cell_length_a 12.629
_cell_length_b 3.701
_cell_length_c 13.253
_cell_angle_alpha 90.00
_cell_angle_beta 107.43
_cell_angle_gamma 90.00
_space_group_name_H-M_alt 'C 1 2/m 1'
_space_group_IT_number 12
_space_group_name_Hall '-C 2y'
loop_
_atom_site_label
_atom_site_type_symbol
_atom_site_fract_x
_atom_site_fract_y
_atom_site_fract_z
Pr1 Pr 0.000 0.000 0.000
Y1 Y 0.036 0.000 0.687
Y2 Y 0.146 0.500 0.522
Y3 Y 0.196 0.500 0.892
Ho1 Ho 0.169 0.500 0.253
```

Output
Total energy in eV/cell: -104.4
E_form in eV/atom: 0.06
Calculated density in Mg/m³: 5.64
V in A^3/atom: 32.8